An optimized crystal structure of K2BaGeMo, computed with PBE.

```
data_K2BaGeMo
_chemical_formula_sum 'K2 Ba1 Ge1 Mo1'
_symmetry_space_group_name_H-M 'P 4/m m m'
_symmetry_Int_Tables_number 123
_symmetry_space_group_name_Hall '-P 4 2'
_cell_length_a 6.5383
_cell_length_b 6.5383
_cell_length_c 5.0425
_cell_angle_alpha 90.00
_cell_angle_beta 90.00
_cell_angle_gamma 90.00
loop_
_atom_site_label
_atom_site_type_symbol
_atom_site_fract_x
_atom_site_fract_y
_atom_site_fract_z
K1 K 0.0000 0.5000 0.0000
Ba1 Ba 0.0000 0.0000 0.5000
Ge1 Ge 0.5000 0.5000 0.5000
Mo1 Mo 0.5000 0.5000 0.0000
```

Summary:
Energy relative to the elements in eV/atom: 0.7534
M_tot in μB/atom: 0.6530
Volume in A^3/atom: 43.11
D(E_F) in states/eV per cell: 4.89



An optimized crystal structure of KBaNaGe, computed with PBE.

```
data_KBaNaGe
_chemical_formula_sum 'K4 Ba4 Na4 Ge4'
_symmetry_space_group_name_H-M 'F -4 3 m'
_symmetry_Int_Tables_number 216
_symmetry_space_group_name_Hall 'F -4 2 3'
_cell_length_a 8.0705
_cell_length_b 8.0705
_cell_length_c 8.0705
_cell_angle_alpha 90.00
_cell_angle_beta 90.00
_cell_angle_gamma 90.00
loop_
_atom_site_label
_atom_site_type_symbol
_atom_site_fract_x
_atom_site_fract_y
_atom_site_fract_z
K1 K 0.0000 0.0000 0.0000
Ba1 Ba 0.2500 0.2500 0.7500
Na1 Na 0.2500 0.2500 0.2500
Ge1 Ge 0.0000 0.0000 0.5000
```

Summary:
Energy relative to the elements in eV/atom: -0.1380
M_tot in μB/atom: 0.0000
Volume in A^3/atom: 32.85
D(E_F) in states/eV per cell: 2.16



An optimized crystal structure of KBa2GeO4, computed with PBE.

```
data_KBa2GeO4
_chemical_formula_sum 'K4 Ba8 Ge4 O16'
_symmetry_space_group_name_H-M 'C m c m'
_symmetry_Int_Tables_number 63
_symmetry_space_group_name_Hall '-C 2c 2'
_cell_length_a 3.8930
_cell_length_b 13.5404
_cell_length_c 12.8432
_cell_angle_alpha 90.00
_cell_angle_beta 90.00
_cell_angle_gamma 90.00
loop_
_atom_site_label
_atom_site_type_symbol
_atom_site_fract_x
_atom_site_fract_y
_atom_site_fract_z
K1 K 0.0000 0.1085 0.2500
Ba1 Ba 0.0000 0.3728 0.0377
Ge1 Ge 0.0000 0.1842 0.7500
O1 O 0.0000 0.0000 0.0000
O2 O 0.0000 0.2641 0.6349
O3 O 0.0000 0.3687 0.2500
```

Summary:
M_tot in μB/atom: 0.0000
Volume in A^3/atom: 21.16
Raw formation energy in eV/atom: -2.00
D(E_F) in states/eV per cell: 3.88



An optimized crystal structure of K2BaGe2O6, computed with PBE.

```
data_K2BaGe2O6
_chemical_formula_sum 'K4 Ba2 Ge4 O12'
_symmetry_space_group_name_H-M 'C 1 2/m 1'
_symmetry_Int_Tables_number 12
_cell_length_a 10.6044
_cell_length_b 6.4925
_cell_length_c 7.2441
_cell_angle_alpha 90.00
_cell_angle_beta 117.34
_cell_angle_gamma 90.00
loop_
_symmetry_equiv_pos_as_xyz
'x,y,z'
'-x,-y,-z'
'-x,y,-z'
'x,-y,z'
'x+1/2,y+1/2,z'
'-x+1/2,-y+1/2,-z'
'-x+1/2,y+1/2,-z'
'x+1/2,-y+1/2,z'
loop_
_atom_site_label
_atom_site_type_symbol
_atom_site_fract_x
_atom_site_fract_y
_atom_site_fract_z
K1 K 0.1936 0.0000 0.1440
Ba1 Ba 0.0000 0.0000 0.5000
Ge1 Ge 0.0481 0.5000 0.2574
O1 O 0.0485 0.2751 0.8052
O2 O 0.2275 0.5000 0.4035
```

Summary:
M_tot in μB/atom: 0.0000
Volume in A^3/atom: 20.14
Raw formation energy in eV/atom: -1.80
D(E_F) in states/eV per cell: 0.00



An optimized crystal structure of K4BaGe3O9, computed with PBE.

```
data_K4BaGe3O9
_chemical_formula_sum 'K16 Ba4 Ge12 O36'
_symmetry_space_group_name_H-M 'C 1 2 1'
_symmetry_Int_Tables_number 5
_cell_length_a 8.5218
_cell_length_b 12.5404
_cell_length_c 11.5560
_cell_angle_alpha 90.00
_cell_angle_beta 90.72
_cell_angle_gamma 90.00
loop_
_symmetry_equiv_pos_as_xyz
'x,y,z'
'-x,y,-z'
'x+1/2,y+1/2,z'
'-x+1/2,y+1/2,-z'
loop_
_atom_site_label
_atom_site_type_symbol
_atom_site_fract_x
_atom_site_fract_y
_atom_site_fract_z
K1 K 0.0000 0.0000 0.0000
K2 K 0.0000 0.0215 0.5000
K3 K 0.0000 0.4280 0.5000
K4 K 0.0000 0.4777 0.0000
K5 K 0.0552 0.7982 0.2549
K6 K 0.2206 0.4996 0.2500
Ba1 Ba 0.0104 0.2396 0.7702
Ge1 Ge 0.1925 0.7264 0.9658
Ge2 Ge 0.1964 0.7182 0.5240
Ge3 Ge 0.2190 0.5423 0.7425
O1 O 0.0000 0.7758 0.5000
O2 O 0.0000 0.7823 0.0000
O3 O 0.0771 0.0262 0.2451
O4 O 0.1015 0.4313 0.7600
O5 O 0.1413 0.6430 0.8406
O6 O 0.1698 0.5907 0.5974
O7 O 0.2014 0.3354 0.0837
O8 O 0.2101 0.3112 0.3869
O9 O 0.2200 0.1848 0.6085
O10 O 0.2294 0.1499 0.9217
```

Summary:
M_tot in μB/atom: 0.0091
Volume in A^3/atom: 18.16
Raw formation energy in eV/atom: -1.92
D(E_F) in states/eV per cell: 0.00



An optimized crystal structure of KBa2Ge2O6, computed with PBE.

```
data_KBa2Ge2O6
_chemical_formula_sum 'K3 Ba6 Ge6 O18'
_symmetry_space_group_name_H-M 'R -3 m'
_symmetry_Int_Tables_number 166
_symmetry_space_group_name_Hall '-R 3 2"'
_cell_length_a 6.0477
_cell_length_b 6.0477
_cell_length_c 20.6766
_cell_angle_alpha 90.00
_cell_angle_beta 90.00
_cell_angle_gamma 120.00
loop_
_atom_site_label
_atom_site_type_symbol
_atom_site_fract_x
_atom_site_fract_y
_atom_site_fract_z
K1 K 0.0000 0.0000 0.0000
Ba1 Ba 0.0000 0.0000 0.2024
Ge1 Ge 0.0000 0.0000 0.4187
O1 O 0.0063 0.5031 0.2326
```

Summary:
M_tot in μB/atom: 0.0636
Volume in A^3/atom: 19.85
Raw formation energy in eV/atom: -1.88
D(E_F) in states/eV per cell: 10.48



An optimized crystal structure of KBaGeP2, computed with PBE.

```
data_KBaGeP2
_chemical_formula_sum 'K1 Ba1 Ge1 P2'
_symmetry_space_group_name_H-M 'P 4/m m m'
_symmetry_Int_Tables_number 123
_symmetry_space_group_name_Hall '-P 4 2'
_cell_length_a 5.1580
_cell_length_b 5.1580
_cell_length_c 5.6631
_cell_angle_alpha 90.00
_cell_angle_beta 90.00
_cell_angle_gamma 90.00
loop_
_atom_site_label
_atom_site_type_symbol
_atom_site_fract_x
_atom_site_fract_y
_atom_site_fract_z
K1 K 0.0000 0.0000 0.0000
Ba1 Ba 0.5000 0.5000 0.0000
Ge1 Ge 0.5000 0.5000 0.5000
P1 P 0.0000 0.5000 0.5000
```

Summary:
Energy relative to the elements in eV/atom: 0.1974
M_tot in μB/atom: 0.0000
Volume in A^3/atom: 30.13
D(E_F) in states/eV per cell: 2.54



An optimized crystal structure of KBaGePd2, computed with PBE.

```
data_KBaGePd2
_chemical_formula_sum 'K1 Ba1 Ge1 Pd2'
_symmetry_space_group_name_H-M 'P 4/m m m'
_symmetry_Int_Tables_number 123
_symmetry_space_group_name_Hall '-P 4 2'
_cell_length_a 5.2909
_cell_length_b 5.2909
_cell_length_c 5.6234
_cell_angle_alpha 90.00
_cell_angle_beta 90.00
_cell_angle_gamma 90.00
loop_
_atom_site_label
_atom_site_type_symbol
_atom_site_fract_x
_atom_site_fract_y
_atom_site_fract_z
K1 K 0.0000 0.0000 0.0000
Ba1 Ba 0.5000 0.5000 0.5000
Ge1 Ge 0.0000 0.0000 0.5000
Pd1 Pd 0.0000 0.5000 0.0000
```

Summary:
Energy relative to the elements in eV/atom: 0.6498
M_tot in μB/atom: 0.0000
Volume in A^3/atom: 31.48
D(E_F) in states/eV per cell: 4.01



An optimized crystal structure of KBaRe2Ge, computed with PBE.

```
data_KBaRe2Ge
_chemical_formula_sum 'K1 Ba1 Re2 Ge1'
_symmetry_space_group_name_H-M 'P 4/m m m'
_symmetry_Int_Tables_number 123
_symmetry_space_group_name_Hall '-P 4 2'
_cell_length_a 4.8082
_cell_length_b 4.8082
_cell_length_c 5.5788
_cell_angle_alpha 90.00
_cell_angle_beta 90.00
_cell_angle_gamma 90.00
loop_
_atom_site_label
_atom_site_type_symbol
_atom_site_fract_x
_atom_site_fract_y
_atom_site_fract_z
K1 K 0.0000 0.0000 0.0000
Ba1 Ba 0.0000 0.0000 0.5000
Re1 Re 0.0000 0.5000 0.0000
Ge1 Ge 0.5000 0.5000 0.5000
```

Summary:
Energy relative to the elements in eV/atom: 2.8927
M_tot in μB/atom: 0.0000
Volume in A^3/atom: 25.79
D(E_F) in states/eV per cell: 7.47



An optimized crystal structure of KBa2GeRh, computed with PBE.

```
data_KBa2GeRh
_chemical_formula_sum 'K1 Ba2 Ge1 Rh1'
_symmetry_space_group_name_H-M 'P 4/m m m'
_symmetry_Int_Tables_number 123
_symmetry_space_group_name_Hall '-P 4 2'
_cell_length_a 6.2146
_cell_length_b 6.2146
_cell_length_c 4.9132
_cell_angle_alpha 90.00
_cell_angle_beta 90.00
_cell_angle_gamma 90.00
loop_
_atom_site_label
_atom_site_type_symbol
_atom_site_fract_x
_atom_site_fract_y
_atom_site_fract_z
K1 K 0.0000 0.0000 0.0000
Ba1 Ba 0.0000 0.5000 0.5000
Ge1 Ge 0.5000 0.5000 0.0000
Rh1 Rh 0.5000 0.5000 0.5000
```

Summary:
Energy relative to the elements in eV/atom: -0.1968
M_tot in μB/atom: 0.0000
Volume in A^3/atom: 37.95
D(E_F) in states/eV per cell: 3.18



An optimized crystal structure of KBa2ScGe, computed with PBE.

```
data_KBa2ScGe
_chemical_formula_sum 'K1 Ba2 Sc1 Ge1'
_symmetry_space_group_name_H-M 'P 4/m m m'
_symmetry_Int_Tables_number 123
_symmetry_space_group_name_Hall '-P 4 2'
_cell_length_a 6.1790
_cell_length_b 6.1790
_cell_length_c 5.4752
_cell_angle_alpha 90.00
_cell_angle_beta 90.00
_cell_angle_gamma 90.00
loop_
_atom_site_label
_atom_site_type_symbol
_atom_site_fract_x
_atom_site_fract_y
_atom_site_fract_z
K1 K 0.0000 0.0000 0.0000
Ba1 Ba 0.0000 0.5000 0.0000
Sc1 Sc 0.0000 0.0000 0.5000
Ge1 Ge 0.5000 0.5000 0.5000
```

Summary:
Energy relative to the elements in eV/atom: 1.0826
M_tot in μB/atom: 0.3188
Volume in A^3/atom: 41.81
D(E_F) in states/eV per cell: 6.70



An optimized crystal structure of KBa2Ge2Se6, computed with PBE.

```
data_KBa2Ge2Se6
_chemical_formula_sum 'K2 Ba4 Ge4 Se12'
_symmetry_space_group_name_H-M 'C 1 2/m 1'
_symmetry_Int_Tables_number 12
_cell_length_a 12.7005
_cell_length_b 6.7943
_cell_length_c 8.6275
_cell_angle_alpha 90.00
_cell_angle_beta 110.78
_cell_angle_gamma 90.00
loop_
_symmetry_equiv_pos_as_xyz
'x,y,z'
'-x,-y,-z'
'-x,y,-z'
'x,-y,z'
'x+1/2,y+1/2,z'
'-x+1/2,-y+1/2,-z'
'-x+1/2,y+1/2,-z'
'x+1/2,-y+1/2,z'
loop_
_atom_site_label
_atom_site_type_symbol
_atom_site_fract_x
_atom_site_fract_y
_atom_site_fract_z
K1 K 0.0000 0.0000 0.0000
Ba1 Ba 0.1834 0.0000 0.7049
Ge1 Ge 0.0156 0.5000 0.8543
Se1 Se 0.0910 0.2410 0.3241
Se2 Se 0.2040 0.5000 0.8726
```

Summary:
M_tot in μB/atom: 0.0000
Volume in A^3/atom: 31.64
Raw formation energy in eV/atom: -0.94
D(E_F) in states/eV per cell: 9.10